[1]
RbHfC3: relaxed, PBE-GGA.

Lattice parameters (Å, degrees): 4.189 4.189 4.189 90.00 90.00 90.00
Fractional positions:
Rb: 0.000 0.000 0.000
Hf: 0.500 0.500 0.500
C: 0.000 0.000 0.500
C: 0.000 0.500 0.000
C: 0.500 0.000 0.000

Output
- Energy relative to the lowest polymorph listed for this composition: 1979 meV per atom
- SG: No. 221
- DOS at the Fermi energy: 0.57 states/eV per atom
- Uncorrected energy: -4.033 eV per atom
- ΔE_f: 3685 meV/atom
- Magnetization: 0.000 μB per atom

***

[2]
Cs4KPd: relaxed, PBE-GGA.

Lattice parameters (Å, degrees): 12.547 12.547 8.360 103.85 103.85 46.49
Fractional positions:
Cs: 0.133 0.662 0.391
Cs: 0.184 0.184 0.228
Cs: 0.227 0.773 0.000
Cs: 0.338 0.867 0.609
Cs: 0.662 0.133 0.391
Cs: 0.773 0.227 0.000
Cs: 0.816 0.816 0.772
Cs: 0.867 0.338 0.609
K: 0.307 0.307 0.830
K: 0.693 0.693 0.170
Pd: 0.017 0.017 0.356
Pd: 0.983 0.983 0.644

Output
- SG: No. 12
- DOS at the Fermi energy: 0.87 states/eV per atom
- Uncorrected energy: -1.574 eV per atom
- ΔE_f: 43 meV/atom
- Magnetization: 0.000 μB per atom

***

[3]
LaMnRu2: relaxed, PBE-GGA.

Lattice parameters (Å, degrees): 3.070 3.070 7.313 90.00 90.00 90.00
Fractional positions:
La: 0.000 0.000 0.000
Mn: 0.000 0.000 0.500
Ru: 0.500 0.500 0.309
Ru: 0.500 0.500 0.691

Output
- SG: No. 123
- DOS at the Fermi energy: 1.03 states/eV per atom
- Uncorrected energy: -8.006 eV per atom
- ΔE_f: 156 meV/atom
- Magnetization: 0.518 μB per atom

***

[4]
InSbSe: relaxed, PBE-GGA.

Lattice parameters (Å, degrees): 4.120 6.976 8.530 66.08 76.29 89.99
Fractional positions:
In: 0.000 0.000 0.000
In: 0.491 0.450 0.019
Sb: 0.180 0.276 0.632
Sb: 0.673 0.557 0.645
Se: 0.425 0.740 0.153
Se: 0.899 0.213 0.206

Output
- E_form (uncorrected): -0.33 eV per atom
- SG: No. 1
- Uncorrected energy: -3.777 eV per atom
- Magnetization: 0.000 μB per atom

***

[5]
TaTeH: relaxed, PBE-GGA.

Lattice parameters (Å, degrees): 7.463 7.463 3.586 90.00 90.00 90.00
Fractional positions:
Ta: 0.114 0.803 0.000
Ta: 0.197 0.114 0.500
Ta: 0.803 0.886 0.500
Ta: 0.886 0.197 0.000
Te: 0.218 0.412 0.000
Te: 0.412 0.782 0.500
Te: 0.588 0.218 0.500
Te: 0.782 0.588 0.000
H: 0.029 0.739 0.500
H: 0.261 0.029 0.000
H: 0.739 0.971 0.000
H: 0.971 0.261 0.500

Output
- SG: No. 84
- DOS at the Fermi energy: 0.58 states/eV per atom
- Uncorrected energy: -6.241 eV per atom
- Magnetization: 0.000 μB per atom

***

[6]
KIn2Ga4: relaxed, PBE-GGA.

Lattice parameters (Å, degrees): 9.020 9.020 9.020 151.67 150.40 41.43
Fractional positions:
K: 0.000 0.000 0.000
In: 0.180 0.680 0.500
In: 0.820 0.320 0.500
Ga: 0.341 0.841 0.500
Ga: 0.423 0.423 0.000
Ga: 0.577 0.577 0.000
Ga: 0.659 0.159 0.500

Output
- SG: No. 71
- DOS at the Fermi energy: 0.22 states/eV per atom
- Uncorrected energy: -2.743 eV per atom
- ΔE_f: -74 meV/atom
- Magnetization: 0.000 μB per atom

***

[7]
Rb3Pm2PbS6: relaxed, PBE-GGA.

Lattice parameters (Å, degrees): 7.285 7.285 8.087 98.62 98.62 120.00
Fractional positions:
Rb: 0.000 0.000 0.000
Rb: 0.336 0.664 0.000
Rb: 0.664 0.336 0.000
Pm: 0.167 0.833 0.500
Pm: 0.833 0.167 0.500
Pb: 0.500 0.500 0.500
S: 0.094 0.434 0.301
S: 0.227 0.227 0.698
S: 0.434 0.094 0.301
S: 0.566 0.906 0.699
S: 0.773 0.773 0.302
S: 0.906 0.566 0.699

Output
- E_form (uncorrected): -1.42 eV per atom
- SG: No. 12
- DOS at the Fermi energy: 0.41 states/eV per atom
- Uncorrected energy: -4.826 eV per atom
- Magnetization: 0.000 μB per atom

***

[8]
LiCu2Ir: relaxed, PBE-GGA.

Lattice parameters (Å, degrees): 2.658 2.658 8.870 98.28 98.28 60.10
Fractional positions:
Li: 0.000 0.000 0.000
Cu: 0.418 0.418 0.249
Cu: 0.582 0.582 0.751
Ir: 0.167 0.167 0.500

Output
- Energy relative to the lowest polymorph listed for this composition: 147 meV per atom
- SG: No. 8
- DOS at the Fermi energy: 0.77 states/eV per atom
- Uncorrected energy: -4.685 eV per atom
- ΔE_f: 57 meV/atom
- Magnetization: 0.000 μB per atom

***

[9]
OsPbCl2: relaxed, PBE-GGA.

Lattice parameters (Å, degrees): 5.059 5.059 5.059 60.00 60.00 60.00
Fractional positions:
Os: 0.000 0.000 0.000
Pb: 0.500 0.500 0.500
Cl: 0.250 0.250 0.250
Cl: 0.750 0.750 0.750

Output
- E_form (uncorrected): 0.88 eV per atom
- Energy relative to the lowest polymorph listed for this composition: 767 meV per atom
- SG: No. 225
- DOS at the Fermi energy: 0.58 states/eV per atom
- Uncorrected energy: -3.780 eV per atom
- Magnetization: 0.947 μB per atom

***

[10]
OsBrCl2: relaxed, PBE-GGA.

Lattice parameters (Å, degrees): 3.729 6.939 6.939 38.85 90.00 90.00
Fractional positions:
Os: 0.000 0.000 0.000
Br: 0.500 0.125 0.125
Cl: 0.000 0.460 0.460
Cl: 0.500 0.879 0.879

Output
- E_form (uncorrected): -0.09 eV per atom
- Energy relative to the lowest polymorph listed for this composition: 0 meV per atom
- SG: No. 38
- DOS at the Fermi energy: 0.62 states/eV per atom
- Uncorrected energy: -4.239 eV per atom
- Magnetization: 0.212 μB per atom

***

[11]
La12ScPb3: relaxed, PBE-GGA.

Lattice parameters (Å, degrees): 5.082 5.082 20.442 90.00 90.00 90.00
Fractional positions:
La: 0.000 0.000 0.000
La: 0.000 0.000 0.249
La: 0.000 0.000 0.500
La: 0.000 0.000 0.751
La: 0.000 0.500 0.124
La: 0.000 0.500 0.374
La: 0.000 0.500 0.626
La: 0.000 0.500 0.876
La: 0.500 0.000 0.124
La: 0.500 0.000 0.374
La: 0.500 0.000 0.626
La: 0.500 0.000 0.876
Sc: 0.500 0.500 0.500
Pb: 0.500 0.500 0.000
Pb: 0.500 0.500 0.248
Pb: 0.500 0.500 0.752

Output
- SG: No. 123
- DOS at the Fermi energy: 1.36 states/eV per atom
- Uncorrected energy: -5.057 eV per atom
- ΔE_f: -270 meV/atom
- Magnetization: 0.000 μB per atom

***

[12]
Ta4Nb2Mo: relaxed, PBE-GGA.

Lattice parameters (Å, degrees): 4.827 2.691 10.112 90.00 103.76 90.00
Fractional positions:
Ta: 0.069 0.000 0.141
Ta: 0.210 0.500 0.421
Ta: 0.790 0.500 0.579
Ta: 0.931 0.000 0.859
Nb: 0.356 0.000 0.711
Nb: 0.644 0.000 0.289
Mo: 0.500 0.500 0.000

Output
- Energy relative to the lowest polymorph listed for this composition: 293 meV per atom
- SG: No. 10
- DOS at the Fermi energy: 1.05 states/eV per atom
- Uncorrected energy: -10.946 eV per atom
- ΔE_f: 252 meV/atom
- Magnetization: 0.000 μB per atom

***

[13]
Dy2TlCl: relaxed, PBE-GGA.

Lattice parameters (Å, degrees): 9.306 9.306 9.306 22.46 22.46 22.46
Fractional positions:
Dy: 0.244 0.244 0.244
Dy: 0.756 0.756 0.756
Tl: 0.000 0.000 0.000
Cl: 0.500 0.500 0.500

Output
- E_form (uncorrected): -0.74 eV per atom
- Energy relative to the lowest polymorph listed for this composition: 22 meV per atom
- SG: No. 166
- DOS at the Fermi energy: 0.51 states/eV per atom
- Uncorrected energy: -4.096 eV per atom
- Magnetization: 0.000 μB per atom